{
  "formula": "Pm2Tm3In2",
  "functional": "GGA-PBE",
  "state": "relaxed",
  "lattice_angstrom": [[-1.2481, -0.9655, 5.1631], [-2.1527, -3.0369, -3.9110], [8.0558, -2.7682, 1.4296]],
  "species": ["Tm", "Tm", "Tm", "Pm", "Pm", "In", "In"],
  "frac_coords": [[0.5000, 0.0000, 0.0000], [0.3480, 0.6960, 0.5440], [0.6520, 0.3040, 0.4560], [0.9231, 0.8462, 0.2692], [0.0769, 0.1538, 0.7308], [0.7825, 0.5650, 0.8479], [0.2175, 0.4350, 0.1521]],
  "energy_ev_per_atom": -4.321
}

***

{
  "formula": "BeTc2Ru",
  "functional": "GGA-PBE",
  "state": "relaxed",
  "lattice_angstrom": [[3.0207, 0.0000, 0.0000], [0.0000, 4.0659, 0.0000], [0.0000, 0.0000, 4.3193]],
  "species": ["Tc", "Tc", "Ru", "Be"],
  "frac_coords": [[0.5000, 0.5000, 0.0000], [0.0000, 0.0000, 0.0000], [0.0000, 0.5000, 0.5000], [0.5000, 0.0000, 0.5000]],
  "energy_ev_per_atom": -8.326
}

***

{
  "formula": "Ni2SbWI",
  "functional": "GGA-PBE",
  "state": "relaxed",
  "lattice_angstrom": [[-3.9253, -2.0376, -0.8737], [3.0195, -5.1434, -1.5709], [-0.2096, -1.4275, 4.2710]],
  "species": ["W", "Sb", "I", "Ni", "Ni"],
  "frac_coords": [[0.5000, 0.5000, 0.5000], [0.0000, 0.5000, 0.0000], [0.0000, 0.0000, 0.0000], [0.5000, 0.0000, 0.0000], [0.0000, 0.0000, 0.5000]],
  "formation_energy_uncorrected_ev_per_atom": 1.7929,
  "energy_ev_per_atom": -4.245
}

***

{
  "formula": "NiIrSe2",
  "functional": "GGA-PBE",
  "state": "relaxed",
  "lattice_angstrom": [[4.4795, 0.0000, 0.0000], [2.2398, 3.8794, 0.0000], [2.2398, 1.2931, 3.6575]],
  "species": ["Se", "Se", "Ni", "Ir"],
  "frac_coords": [[0.0000, 0.0000, 0.0000], [0.2500, 0.2500, 0.2500], [0.7500, 0.7500, 0.7500], [0.5000, 0.5000, 0.5000]],
  "formation_energy_uncorrected_ev_per_atom": 0.7328,
  "energy_ev_per_atom": -4.670
}

***

{
  "formula": "CaHgW3",
  "functional": "GGA-PBE",
  "state": "relaxed",
  "lattice_angstrom": [[4.6744, 0.0000, 0.0000], [0.0000, 4.6744, 0.0000], [0.0000, 0.0000, 4.6744]],
  "species": ["W", "W", "W", "Ca", "Hg"],
  "frac_coords": [[0.0000, 0.0000, 0.5000], [0.5000, 0.0000, 0.0000], [0.0000, 0.5000, 0.0000], [0.0000, 0.0000, 0.0000], [0.5000, 0.5000, 0.5000]],
  "energy_ev_per_atom": -5.108
}

***

{
  "formula": "In2CoMo",
  "functional": "GGA-PBE",
  "state": "relaxed",
  "lattice_angstrom": [[4.2914, 0.0000, 0.0000], [0.0000, 3.0811, -0.1115], [0.0000, 1.6585, 5.3723]],
  "species": ["In", "In", "Co", "Mo"],
  "frac_coords": [[0.5000, 0.2909, 0.2905], [0.0000, 0.9635, 0.9635], [0.5000, 0.5576, 0.7315], [0.0000, 0.6880, 0.5146]],
  "energy_ev_per_atom": -5.483
}

***

{
  "formula": "BaAc4Ru",
  "functional": "GGA-PBE",
  "state": "relaxed",
  "lattice_angstrom": [[-2.6686, -6.0068, -2.0231], [2.9567, -3.5770, 6.7205], [-8.1554, 6.4116, 2.0380]],
  "species": ["Ru", "Ru", "Ac", "Ac", "Ac", "Ac", "Ac", "Ac", "Ac", "Ac", "Ba", "Ba"],
  "frac_coords": [[0.6563, 0.4626, 0.9252], [0.3437, 0.5374, 0.0748], [0.6128, 0.3608, 0.2144], [0.0000, 0.2629, 0.0000], [0.6128, 0.8536, 0.2144], [0.3872, 0.1464, 0.7856], [0.0000, 0.7371, 0.0000], [0.3872, 0.6392, 0.7856], [0.7929, 0.3191, 0.6383], [0.2071, 0.6809, 0.3617], [0.1741, 0.1943, 0.3886], [0.8259, 0.8057, 0.6114]],
  "energy_ev_per_atom": -4.638
}

***

{
  "formula": "Ba2Cd2Au3",
  "functional": "GGA-PBE",
  "state": "relaxed",
  "lattice_angstrom": [[-2.2433, -0.2094, 4.0433], [7.1202, -1.9094, 3.8515], [2.9928, 10.2342, -0.4589]],
  "species": ["Au", "Au", "Au", "Au", "Au", "Au", "Ba", "Ba", "Ba", "Ba", "Cd", "Cd", "Cd", "Cd"],
  "frac_coords": [[0.5609, 0.0706, 0.1217], [0.4391, 0.5706, 0.8783], [0.7731, 0.2500, 0.5462], [0.5609, 0.4294, 0.1217], [0.2269, 0.7500, 0.4538], [0.4391, 0.9294, 0.8783], [0.8468, 0.7500, 0.6936], [0.9405, 0.2500, 0.8810], [0.1532, 0.2500, 0.3064], [0.0595, 0.7500, 0.1190], [0.6915, 0.9415, 0.3830], [0.3085, 0.0585, 0.6170], [0.6915, 0.5585, 0.3830], [0.3085, 0.4415, 0.6170]],
  "energy_ev_per_atom": -2.805
}

***

{
  "formula": "CaEu",
  "functional": "GGA-PBE",
  "state": "relaxed",
  "lattice_angstrom": [[4.4013, 0.0000, 0.0000], [0.0000, 4.4013, 0.0000], [0.0000, 0.0000, 4.4013]],
  "species": ["Ca", "Eu"],
  "frac_coords": [[0.0000, 0.0000, 0.0000], [0.5000, 0.5000, 0.5000]],
  "energy_ev_per_atom": -6.116
}

***

{
  "formula": "Sc2MnAlN",
  "functional": "GGA-PBE",
  "state": "relaxed",
  "lattice_angstrom": [[4.4892, 0.0000, 0.0000], [0.0000, 4.4892, 0.0000], [0.0000, 0.0000, 3.6782]],
  "species": ["Al", "Sc", "Sc", "N", "Mn"],
  "frac_coords": [[0.5000, 0.5000, 0.5000], [0.5000, 0.0000, 0.0000], [0.0000, 0.5000, 0.0000], [0.0000, 0.0000, 0.0000], [0.0000, 0.0000, 0.5000]],
  "formation_energy_uncorrected_ev_per_atom": -0.7946,
  "energy_ev_per_atom": -7.575
}

***

{
  "formula": "H2IrPt2",
  "functional": "GGA-PBE",
  "state": "relaxed",
  "lattice_angstrom": [[5.2966, 0.0000, 0.0000], [0.0000, 5.2966, 0.0000], [0.0000, 0.0000, 3.9615]],
  "species": ["Pt", "Pt", "Pt", "Pt", "H", "H", "H", "H", "Ir", "Ir"],
  "frac_coords": [[0.1868, 0.3132, 0.5000], [0.3132, 0.8132, 0.5000], [0.6868, 0.1868, 0.5000], [0.8132, 0.6868, 0.5000], [0.6983, 0.1983, 0.0000], [0.8017, 0.6983, 0.0000], [0.1983, 0.3017, 0.0000], [0.3017, 0.8017, 0.0000], [0.0000, 0.0000, 0.0000], [0.5000, 0.5000, 0.0000]],
  "energy_ev_per_atom": -5.402
}

***

{
  "formula": "NiHgMo",
  "functional": "GGA-PBE",
  "state": "relaxed",
  "lattice_angstrom": [[-0.7316, 0.2776, 3.0073], [1.2131, -2.8362, 0.5569], [9.3125, 4.2640, 1.4305]],
  "species": ["Ni", "Ni", "Hg", "Hg", "Mo", "Mo"],
  "frac_coords": [[0.3980, 0.5000, 0.4784], [0.8739, 0.0000, 0.3595], [0.2324, 0.5000, 0.8798], [0.9243, 0.0000, 0.6353], [0.3631, 0.5000, 0.2294], [0.7354, 0.0000, 0.0814]],
  "energy_ev_per_atom": -5.394
}

***

{
  "formula": "Na2AlCd",
  "functional": "GGA-PBE",
  "state": "relaxed",
  "lattice_angstrom": [[-1.4723, 0.2692, -8.4434], [-6.1156, -5.9465, 0.8768], [-5.7849, -0.7300, -3.3689]],
  "species": ["Na", "Na", "Na", "Na", "Al", "Al", "Cd", "Cd"],
  "frac_coords": [[0.8750, 0.8762, 0.7500], [0.3750, 0.3738, 0.7500], [0.6262, 0.1250, 0.2500], [0.1238, 0.6250, 0.2500], [0.2500, 0.7500, 0.5000], [0.5000, 0.5000, 0.0000], [0.7500, 0.2500, 0.5000], [0.0000, 0.0000, 0.0000]],
  "energy_ev_per_atom": -1.578
}

***

{
  "formula": "SrAlAg2",
  "functional": "GGA-PBE",
  "state": "relaxed",
  "lattice_angstrom": [[-3.2657, -1.9865, 4.6978], [1.2672, -2.0511, 5.5559], [-1.0402, 1.9434, 5.6411]],
  "species": ["Ag", "Ag", "Al", "Sr"],
  "frac_coords": [[0.5501, 0.5501, 0.5501], [0.9499, 0.9499, 0.9499], [0.2500, 0.2500, 0.2500], [0.7500, 0.7500, 0.7500]],
  "energy_ev_per_atom": -3.028
}

***

{
  "formula": "Fe2Tc",
  "functional": "GGA-PBE",
  "state": "relaxed",
  "lattice_angstrom": [[-0.0973, -0.5766, 2.5108], [-2.3305, -3.1000, -0.8023], [11.8456, -8.5176, -1.4973]],
  "species": ["Fe", "Fe", "Fe", "Fe", "Fe", "Fe", "Fe", "Fe", "Tc", "Tc", "Tc", "Tc"],
  "frac_coords": [[0.0000, 0.7500, 0.9668], [0.0000, 0.2500, 0.0332], [0.5000, 0.2500, 0.3118], [0.0000, 0.7500, 0.8118], [0.5000, 0.2500, 0.4668], [0.0000, 0.2500, 0.1882], [0.5000, 0.7500, 0.6882], [0.5000, 0.7500, 0.5332], [0.5000, 0.2500, 0.8776], [0.5000, 0.7500, 0.1224], [0.0000, 0.7500, 0.3776], [0.0000, 0.2500, 0.6224]],
  "energy_ev_per_atom": -8.746
}

***

{
  "formula": "Cd2MoP",
  "functional": "GGA-PBE",
  "state": "relaxed",
  "lattice_angstrom": [[3.4002, 0.0000, 0.0000], [0.0000, 4.1811, 0.0000], [0.0000, 0.0000, 4.9905]],
  "species": ["Cd", "Cd", "P", "Mo"],
  "frac_coords": [[0.5000, 0.5000, 0.0000], [0.0000, 0.0000, 0.0000], [0.0000, 0.5000, 0.5000], [0.5000, 0.0000, 0.5000]],
  "energy_ev_per_atom": -4.053
}

***

{
  "formula": "K2YCd",
  "functional": "GGA-PBE",
  "state": "relaxed",
  "lattice_angstrom": [[-4.9419, 1.6310, 0.8439], [-4.7754, -0.6521, -2.1366], [-2.4813, -7.9056, 5.9173]],
  "species": ["K", "K", "Cd", "Y"],
  "frac_coords": [[0.7571, 0.7571, 0.7053], [0.9789, 0.9789, 0.0681], [0.2433, 0.2433, 0.3046], [0.5206, 0.5206, 0.4220]],
  "energy_ev_per_atom": -2.167
}

***

{
  "formula": "Cs2LaScCl",
  "functional": "GGA-PBE",
  "state": "relaxed",
  "lattice_angstrom": [[-7.4943, 1.8901, 1.0109], [0.5357, -0.7204, 5.3185], [1.9987, 7.4901, 0.8132]],
  "species": ["Cl", "Cs", "Cs", "Sc", "La"],
  "frac_coords": [[0.0000, 0.5000, 0.0000], [0.5000, 0.0000, 0.0000], [0.0000, 0.0000, 0.5000], [0.5000, 0.5000, 0.5000], [0.0000, 0.0000, 0.0000]],
  "formation_energy_uncorrected_ev_per_atom": 0.3867,
  "energy_ev_per_atom": -2.576
}

***

{
  "formula": "YPd3C",
  "functional": "GGA-PBE",
  "state": "relaxed",
  "lattice_angstrom": [[4.2982, 0.0000, 0.0000], [0.0000, 4.2982, 0.0000], [0.0000, 0.0000, 4.2982]],
  "species": ["Pd", "Pd", "Pd", "Y", "C"],
  "frac_coords": [[0.0000, 0.5000, 0.0000], [0.0000, 0.0000, 0.5000], [0.5000, 0.0000, 0.0000], [0.5000, 0.5000, 0.5000], [0.0000, 0.0000, 0.0000]],
  "energy_ev_per_atom": -6.495
}

***

{
  "formula": "Ta3SbTe",
  "functional": "GGA-PBE",
  "state": "relaxed",
  "lattice_angstrom": [[5.0228, 0.0000, 0.0000], [0.0000, 5.0228, 0.0000], [0.0000, 0.0000, 5.0228]],
  "species": ["Ta", "Ta", "Ta", "Sb", "Te"],
  "frac_coords": [[0.5000, 0.0000, 0.0000], [0.0000, 0.5000, 0.0000], [0.0000, 0.0000, 0.5000], [0.5000, 0.5000, 0.5000], [0.0000, 0.0000, 0.0000]],
  "formation_energy_uncorrected_ev_per_atom": 1.6858,
  "energy_ev_per_atom": -6.879
}